LiSbSI2 after structural relaxation. Source: Alexandria via LeMat-Bulk, functional PBE.

Computed properties:
symmetry: P4/mmm, No. 123
formation energy without anion corrections: 0.403 eV per atom
distance to the lowest polymorph of the same formula: 5.335 kcal/mol of atoms
total magnetic moment: 0.52 Bohr magnetons per cell
calculated volume: 144 Å³/f.u.
Fermi-level density of states: 3.62 states/eV/f.u.

abc: 5.032 5.032 5.682
angles: 90.00 90.00 90.00
Positions (direct):
Li1 0.000 0.000 0.000
Sb1 0.000 0.000 0.500
S1 0.500 0.500 0.500
I1 0.000 0.500 0.000
I2 0.500 0.000 0.000

LiSbSI2 after structural relaxation. Source: Alexandria via LeMat-Bulk, functional PBE.

Computed properties:
symmetry: P4/mmm, No. 123
formation energy without anion corrections: 0.172 eV per atom
distance to the lowest polymorph of the same formula: 0.000 kcal/mol of atoms
total magnetic moment: 1.62 Bohr magnetons per cell
calculated volume: 181 Å³/f.u.
Fermi-level density of states: 2.58 states/eV/f.u.

abc: 5.862 5.862 5.259
angles: 90.00 90.00 90.00
Positions (direct):
Li1 0.000 0.000 0.000
Sb1 0.500 0.500 0.000
S1 0.500 0.500 0.500
I1 0.000 0.500 0.500
I2 0.500 0.000 0.500

Li6SeSI2 after structural relaxation. Source: Alexandria via LeMat-Bulk, functional PBE.

Computed properties:
symmetry: C2/m, No. 12
formation energy without anion corrections: -1.198 eV per atom
total magnetic moment: 0.00 Bohr magnetons per cell
calculated volume: 222 Å³/f.u.
Fermi-level density of states: 0.00 states/eV/f.u.

abc: 6.786 6.786 6.818
angles: 119.87 119.87 60.00
Positions (direct):
Li1 0.188 0.698 0.686
Li2 0.243 0.243 0.834
Li3 0.302 0.812 0.314
Li4 0.698 0.188 0.686
Li5 0.757 0.757 0.166
Li6 0.812 0.302 0.314
Se1 0.500 0.500 0.000
S1 0.000 0.000 0.500
I1 0.250 0.250 0.264
I2 0.750 0.750 0.736

Li2SeS2I2 after structural relaxation. Source: Alexandria via LeMat-Bulk, functional PBE.

Computed properties:
symmetry: C2/m, No. 12
formation energy without anion corrections: -0.307 eV per atom
total magnetic moment: 0.00 Bohr magnetons per cell
calculated volume: 181 Å³/f.u.
Fermi-level density of states: 5.13 states/eV/f.u.

abc: 6.953 6.953 6.800
angles: 114.53 114.53 37.70
Positions (direct):
Li1 0.174 0.174 0.023
Li2 0.826 0.826 0.977
Se1 0.500 0.500 0.500
S1 0.378 0.378 0.109
S2 0.622 0.622 0.891
I1 0.141 0.141 0.446
I2 0.859 0.859 0.554

LiTcSI2 after structural relaxation. Source: Alexandria via LeMat-Bulk, functional PBE.

Computed properties:
symmetry: P4/mmm, No. 123
formation energy without anion corrections: 0.679 eV per atom
total magnetic moment: 3.91 Bohr magnetons per cell
calculated volume: 134 Å³/f.u.
Fermi-level density of states: 3.15 states/eV/f.u.

abc: 5.453 5.453 4.491
angles: 90.00 90.00 90.00
Positions (direct):
Li1 0.000 0.000 0.000
Tc1 0.500 0.500 0.500
S1 0.000 0.000 0.500
I1 0.000 0.500 0.000
I2 0.500 0.000 0.000

Li6TeSI2 after structural relaxation. Source: Alexandria via LeMat-Bulk, functional PBE.

Computed properties:
symmetry: C2/m, No. 12
formation energy without anion corrections: -1.120 eV per atom
total magnetic moment: 0.00 Bohr magnetons per cell
calculated volume: 242 Å³/f.u.
Fermi-level density of states: 0.00 states/eV/f.u.

abc: 6.936 6.936 7.014
angles: 119.25 119.25 60.24
Positions (direct):
Li1 0.166 0.692 0.659
Li2 0.230 0.230 0.842
Li3 0.308 0.834 0.341
Li4 0.692 0.166 0.659
Li5 0.770 0.770 0.158
Li6 0.834 0.308 0.341
Te1 0.500 0.500 0.000
S1 0.000 0.000 0.500
I1 0.251 0.251 0.273
I2 0.749 0.749 0.727